No. 1
{"formula": "LaPm2Nd6Sm", "functional": "GGA-PBE", "state": "optimized geometry", "lattice_angstrom": [[2.153, 0.286, -9.768], [-8.378, -3.156, -1.195], [1.080, 8.881, 1.242]], "species": ["Pm", "Nd", "Nd", "Nd", "La", "Pm", "Pm", "La", "Nd", "Nd", "Nd", "Nd", "Nd", "Sm", "Sm", "Nd", "Pm", "Nd", "Nd", "Nd"], "fractional_positions": [[0.957, 0.711, 0.810], [0.444, 0.250, 0.885], [0.122, 0.704, 0.497], [0.056, 0.115, 0.750], [0.750, 0.596, 0.404], [0.457, 0.810, 0.711], [0.043, 0.289, 0.190], [0.250, 0.404, 0.596], [0.183, 0.573, 0.024], [0.683, 0.024, 0.573], [0.317, 0.976, 0.427], [0.944, 0.885, 0.250], [0.378, 0.503, 0.296], [0.250, 0.977, 0.023], [0.750, 0.023, 0.977], [0.817, 0.427, 0.976], [0.543, 0.190, 0.289], [0.622, 0.497, 0.704], [0.556, 0.750, 0.115], [0.878, 0.296, 0.503]], "delta_e_f_ev_per_atom": 0.11, "n_ef_per_ev_cell": 31.86, "crystal_system": "monoclinic"}

No. 2
{"formula": "LaPm5NdSm2", "functional": "GGA-PBE", "state": "optimized geometry", "lattice_angstrom": [[8.910, 0.000, 0.000], [0.000, 8.910, 0.000], [-4.455, -4.455, 7.937]], "species": ["Pm", "Nd", "La", "La", "Pm", "Sm", "Pm", "Sm", "Pm", "Pm", "Pm", "Nd", "Pm", "Pm", "Sm", "Pm", "Pm", "Sm"], "fractional_positions": [[0.839, 0.932, 0.271], [0.750, 0.250, 0.500], [0.750, 0.750, 0.500], [0.250, 0.250, 0.500], [0.339, 0.839, 0.271], [0.382, 0.882, 0.000], [0.161, 0.068, 0.729], [0.618, 0.118, 0.000], [0.661, 0.161, 0.729], [0.568, 0.661, 0.729], [0.500, 0.500, 0.000], [0.250, 0.750, 0.500], [0.932, 0.432, 0.271], [0.000, 0.000, 0.000], [0.882, 0.618, 0.000], [0.432, 0.339, 0.271], [0.068, 0.568, 0.729], [0.118, 0.382, 0.000]], "delta_e_f_ev_per_atom": 0.25, "n_ef_per_ev_cell": 25.39, "crystal_system": "tetragonal"}

No. 3
{"formula": "La2Pm2Nd2Sm", "functional": "GGA-PBE", "state": "optimized geometry", "lattice_angstrom": [[5.218, 0.000, 0.000], [-2.609, 5.824, 0.290], [0.000, -1.566, 8.088]], "species": ["Nd", "La", "Pm", "Nd", "La", "Sm", "Pm"], "fractional_positions": [[0.571, 0.142, 0.717], [0.857, 0.714, 0.573], [0.285, 0.569, 0.860], [0.429, 0.858, 0.283], [0.143, 0.286, 0.427], [0.000, 0.000, 0.000], [0.715, 0.431, 0.140]], "delta_e_f_ev_per_atom": 0.02, "n_ef_per_ev_cell": 13.02, "crystal_system": "monoclinic"}

No. 4
{"formula": "LaPm2NdSm", "functional": "GGA-PBE", "state": "optimized geometry", "lattice_angstrom": [[6.719, 0.000, 0.000], [0.000, 8.431, 1.120], [0.000, -1.391, 6.183]], "species": ["La", "Sm", "Nd", "Pm", "Pm", "La", "Sm", "Pm", "Pm", "Nd"], "fractional_positions": [[0.000, 0.000, 0.000], [0.570, 0.000, 0.250], [0.163, 0.500, 0.750], [0.685, 0.309, 0.718], [0.685, 0.691, 0.782], [0.000, 0.000, 0.500], [0.430, 0.000, 0.750], [0.315, 0.309, 0.218], [0.315, 0.691, 0.282], [0.837, 0.500, 0.250]], "delta_e_f_ev_per_atom": 0.25, "n_ef_per_ev_cell": 14.92, "crystal_system": "monoclinic"}

No. 5
{"formula": "La6Pm2NdSm", "functional": "GGA-PBE", "state": "optimized geometry", "lattice_angstrom": [[9.210, 0.000, 1.102], [0.000, 7.077, 0.000], [-2.348, -3.539, 5.277]], "species": ["Sm", "La", "La", "La", "La", "La", "La", "Pm", "Pm", "Nd"], "fractional_positions": [[0.500, 0.000, 0.000], [0.578, 0.372, 0.745], [0.199, 0.573, 0.612], [0.199, 0.039, 0.612], [0.801, 0.427, 0.388], [0.422, 0.628, 0.255], [0.801, 0.961, 0.388], [0.829, 0.923, 0.847], [0.171, 0.077, 0.153], [0.000, 0.500, 0.000]], "delta_e_f_ev_per_atom": 0.18, "n_ef_per_ev_cell": 17.93, "crystal_system": "monoclinic"}

No. 6
{"formula": "LaPmNd6Sm2", "functional": "GGA-PBE", "state": "optimized geometry", "lattice_angstrom": [[9.456, -2.209, -2.292], [0.794, 8.753, -2.080], [0.794, -2.403, 8.670]], "species": ["Sm", "Nd", "Nd", "Nd", "Nd", "Nd", "Nd", "Nd", "Nd", "Sm", "Nd", "Pm", "Sm", "La", "Pm", "Nd", "Sm", "La", "Nd", "Nd"], "fractional_positions": [[0.957, 0.710, 0.809], [0.182, 0.571, 0.023], [0.378, 0.505, 0.296], [0.682, 0.023, 0.571], [0.818, 0.429, 0.977], [0.445, 0.249, 0.886], [0.622, 0.495, 0.704], [0.878, 0.296, 0.505], [0.122, 0.704, 0.495], [0.457, 0.809, 0.710], [0.555, 0.751, 0.114], [0.750, 0.024, 0.976], [0.043, 0.290, 0.191], [0.750, 0.596, 0.404], [0.250, 0.976, 0.024], [0.318, 0.977, 0.429], [0.543, 0.191, 0.290], [0.250, 0.404, 0.596], [0.055, 0.114, 0.751], [0.945, 0.886, 0.249]], "delta_e_f_ev_per_atom": 0.11, "n_ef_per_ev_cell": 31.26, "crystal_system": "monoclinic"}

> What is the formula in the second record?

LaPm5NdSm2